(1)
# K3Na4I8

An optimized crystal structure of K3Na4I8 (PBE, Alexandria).

```
data_K3Na4I8
_space_group_name_H-M_alt 'P 1'
_space_group_IT_number 1
_cell_length_a 9.414
_cell_length_b 9.663
_cell_length_c 9.663
_cell_angle_alpha 90.08
_cell_angle_beta 119.12
_cell_angle_gamma 119.12
loop_
_space_group_symop_operation_xyz
'x,y,z'
loop_
_atom_site_label
_atom_site_fract_x
_atom_site_fract_y
_atom_site_fract_z
_atom_site_occupancy
K1 0.500 0.000 0.500 1
Na1 0.000 0.000 0.500 1
I1 0.981 0.233 0.233 1
Na2 0.000 0.500 0.000 1
I2 0.475 0.227 0.227 1
I3 0.019 0.767 0.767 1
I4 0.000 0.238 0.762 1
Na3 0.500 0.000 0.000 1
K2 0.500 0.500 0.000 1
I5 0.500 0.242 0.758 1
I6 0.000 0.762 0.238 1
I7 0.500 0.758 0.242 1
I8 0.525 0.773 0.773 1
Na4 0.000 0.000 0.000 1
K3 0.500 0.500 0.500 1
```

Values from the calculation:
**Uncorrected energy**: -2.573 eV/atom
**N(E_F)**: 22.16 states/eV per cell

(2)
# KNa4I5

An optimized crystal structure of KNa4I5 (PBE, Alexandria).

```
data_KNa4I5
_space_group_name_H-M_alt 'P 1'
_space_group_IT_number 1
_cell_length_a 4.742
_cell_length_b 4.742
_cell_length_c 16.900
_cell_angle_alpha 98.06
_cell_angle_beta 98.06
_cell_angle_gamma 90.00
loop_
_space_group_symop_operation_xyz
'x,y,z'
loop_
_atom_site_label
_atom_site_fract_x
_atom_site_fract_y
_atom_site_fract_z
_atom_site_occupancy
I1 0.106 0.106 0.211 1
I2 0.894 0.894 0.789 1
Na1 0.603 0.603 0.206 1
Na2 0.202 0.202 0.404 1
Na3 0.397 0.397 0.794 1
I3 0.701 0.701 0.402 1
I4 0.299 0.299 0.598 1
Na4 0.798 0.798 0.596 1
I5 0.500 0.500 0.000 1
K1 0.000 0.000 0.000 1
```

Values from the calculation:
**Offset from the most stable computed form**: 4.8 kJ/mol of formula units
**Uncorrected energy**: -2.699 eV/atom
**N(E_F)**: 0.00 states/eV per cell

(3)
# K4NaI4

An optimized crystal structure of K4NaI4 (PBE, Alexandria).

```
data_K4NaI4
_space_group_name_H-M_alt 'P 1'
_space_group_IT_number 1
_cell_length_a 9.011
_cell_length_b 9.990
_cell_length_c 9.990
_cell_angle_alpha 90.00
_cell_angle_beta 90.00
_cell_angle_gamma 90.00
loop_
_space_group_symop_operation_xyz
'x,y,z'
loop_
_atom_site_label
_atom_site_fract_x
_atom_site_fract_y
_atom_site_fract_z
_atom_site_occupancy
I1 0.756 0.267 0.500 1
K1 0.658 0.000 0.272 1
K2 0.842 0.500 0.228 1
I2 0.756 0.733 0.500 1
K3 0.842 0.500 0.772 1
I3 0.744 0.233 0.000 1
I4 0.744 0.767 0.000 1
K4 0.158 0.228 0.500 1
Na1 0.000 0.000 0.000 1
I5 0.244 0.500 0.733 1
K5 0.342 0.728 0.000 1
K6 0.342 0.272 0.000 1
K7 0.158 0.772 0.500 1
I6 0.256 0.000 0.767 1
K8 0.658 0.000 0.728 1
I7 0.256 0.000 0.233 1
Na2 0.500 0.500 0.500 1
I8 0.244 0.500 0.267 1
```

Values from the calculation:
**Uncorrected energy**: -2.501 eV/atom
**N(E_F)**: 3.79 states/eV per cell

(4)
# KNa4I5

An optimized crystal structure of KNa4I5 (PBE, Alexandria).

```
data_KNa4I5
_space_group_name_H-M_alt 'P 1'
_space_group_IT_number 1
_cell_length_a 4.665
_cell_length_b 6.721
_cell_length_c 12.496
_cell_angle_alpha 105.60
_cell_angle_beta 100.76
_cell_angle_gamma 90.00
loop_
_space_group_symop_operation_xyz
'x,y,z'
loop_
_atom_site_label
_atom_site_fract_x
_atom_site_fract_y
_atom_site_fract_z
_atom_site_occupancy
Na1 0.204 0.204 0.408 1
Na2 0.796 0.796 0.592 1
Na3 0.398 0.398 0.795 1
I1 0.390 0.890 0.780 1
I2 0.801 0.301 0.602 1
Na4 0.602 0.602 0.205 1
I3 0.199 0.699 0.398 1
K1 0.000 0.000 0.000 1
I4 0.000 0.500 0.000 1
I5 0.610 0.110 0.220 1
```

Values from the calculation:
**Offset from the most stable computed form**: 0.0 kJ/mol of formula units
**Uncorrected energy**: -2.704 eV/atom
**N(E_F)**: 0.00 states/eV per cell

(5)
# KNa2I2

An optimized crystal structure of KNa2I2 (PBE, Alexandria).

```
data_KNa2I2
_space_group_name_H-M_alt 'P 1'
_space_group_IT_number 1
_cell_length_a 9.303
_cell_length_b 9.303
_cell_length_c 4.646
_cell_angle_alpha 90.00
_cell_angle_beta 90.00
_cell_angle_gamma 90.00
loop_
_space_group_symop_operation_xyz
'x,y,z'
loop_
_atom_site_label
_atom_site_fract_x
_atom_site_fract_y
_atom_site_fract_z
_atom_site_occupancy
Na1 0.847 0.347 0.500 1
K1 0.500 0.500 0.000 1
K2 0.000 0.000 0.000 1
I1 0.657 0.157 0.000 1
Na2 0.653 0.847 0.500 1
Na3 0.153 0.653 0.500 1
Na4 0.347 0.153 0.500 1
I2 0.843 0.657 0.000 1
I3 0.157 0.343 0.000 1
I4 0.343 0.843 0.000 1
```

Values from the calculation:
**Offset from the most stable computed form**: 14.2 kJ/mol of formula units
**Uncorrected energy**: -2.223 eV/atom
**N(E_F)**: 4.75 states/eV per cell

(6)
# KNaI3

An optimized crystal structure of KNaI3 (PBE, Alexandria).

```
data_KNaI3
_space_group_name_H-M_alt 'P 1'
_space_group_IT_number 1
_cell_length_a 6.092
_cell_length_b 6.092
_cell_length_c 6.092
_cell_angle_alpha 90.00
_cell_angle_beta 90.00
_cell_angle_gamma 90.00
loop_
_space_group_symop_operation_xyz
'x,y,z'
loop_
_atom_site_label
_atom_site_fract_x
_atom_site_fract_y
_atom_site_fract_z
_atom_site_occupancy
Na1 0.000 0.000 0.000 1
I1 0.000 0.000 0.500 1
I2 0.500 0.000 0.000 1
K1 0.500 0.500 0.500 1
I3 0.000 0.500 0.000 1
```

Values from the calculation:
**Offset from the most stable computed form**: 0.0 kJ/mol of formula units
**Uncorrected energy**: -2.269 eV/atom
**N(E_F)**: 7.23 states/eV per cell

(7)
# KNa6I8

An optimized crystal structure of KNa6I8 (PBE, Alexandria).

```
data_KNa6I8
_space_group_name_H-M_alt 'P 1'
_space_group_IT_number 1
_cell_length_a 9.272
_cell_length_b 9.272
_cell_length_c 9.272
_cell_angle_alpha 60.00
_cell_angle_beta 60.00
_cell_angle_gamma 60.00
loop_
_space_group_symop_operation_xyz
'x,y,z'
loop_
_atom_site_label
_atom_site_fract_x
_atom_site_fract_y
_atom_site_fract_z
_atom_site_occupancy
Na1 0.000 0.000 0.500 1
I1 0.261 0.261 0.739 1
Na2 0.500 0.000 0.000 1
Na3 0.000 0.500 0.000 1
Na4 0.500 0.000 0.500 1
K1 0.000 0.000 0.000 1
I2 0.750 0.750 0.750 1
I3 0.250 0.250 0.250 1
Na5 0.500 0.500 0.000 1
I4 0.261 0.739 0.739 1
I5 0.261 0.739 0.261 1
I6 0.739 0.261 0.739 1
I7 0.739 0.739 0.261 1
I8 0.739 0.261 0.261 1
Na6 0.000 0.500 0.500 1
```

Values from the calculation:
**Uncorrected energy**: -2.549 eV/atom
**N(E_F)**: 20.33 states/eV per cell

(8)
# K2NaI3

An optimized crystal structure of K2NaI3 (PBE, Alexandria).

```
data_K2NaI3
_space_group_name_H-M_alt 'P 1'
_space_group_IT_number 1
_cell_length_a 4.856
_cell_length_b 7.014
_cell_length_c 8.559
_cell_angle_alpha 114.19
_cell_angle_beta 106.48
_cell_angle_gamma 90.00
loop_
_space_group_symop_operation_xyz
'x,y,z'
loop_
_atom_site_label
_atom_site_fract_x
_atom_site_fract_y
_atom_site_fract_z
_atom_site_occupancy
K1 0.830 0.830 0.160 1
Na1 0.500 0.500 0.500 1
I1 0.152 0.652 0.804 1
I2 0.848 0.348 0.196 1
K2 0.170 0.170 0.840 1
I3 0.500 0.000 0.500 1
```

Values from the calculation:
**Uncorrected energy**: -2.756 eV/atom
**N(E_F)**: 0.00 states/eV per cell